# CoNi | Alexandria via LeMat-Bulk | PBE | optimized geometry
data_CoNi
_chemical_formula_sum 'Co4 Ni4'
_cell_length_a 3.9145
_cell_length_b 3.9145
_cell_length_c 7.0995
_cell_angle_alpha 90.00
_cell_angle_beta 90.00
_cell_angle_gamma 120.00
_symmetry_space_group_name_H-M 'P 63/m m c'
_symmetry_Int_Tables_number 194
_symmetry_space_group_name_Hall '-P 6c 2c'
loop_
_atom_site_label
_atom_site_fract_x
_atom_site_fract_y
_atom_site_fract_z
Co1 0.0000 0.0000 0.2500
Co2 0.3333 0.6667 0.2500
Ni1 0.3333 0.6667 0.5826
# calculated volume: 94.2 Å³/cell
# size of the total moment: 9.28 Bohr magnetons per cell
# total energy: -0.228 hartree per atom

***

# PmTiAu2 | Alexandria via LeMat-Bulk | PBE | optimized geometry
data_PmTiAu2
_chemical_formula_sum 'Pm3 Ti3 Au6'
_cell_length_a 4.5803
_cell_length_b 4.5803
_cell_length_c 14.8347
_cell_angle_alpha 90.00
_cell_angle_beta 90.00
_cell_angle_gamma 120.00
_symmetry_space_group_name_H-M 'R -3 m'
_symmetry_Int_Tables_number 166
_symmetry_space_group_name_Hall '-R 3 2"'
loop_
_atom_site_label
_atom_site_fract_x
_atom_site_fract_y
_atom_site_fract_z
Pm1 0.0000 0.0000 0.0000
Ti1 0.0000 0.0000 0.5000
Au1 0.0000 0.0000 0.2126
# calculated volume: 269.5 Å³/cell
# size of the total moment: 0.00 Bohr magnetons per cell
# total energy: -0.195 hartree per atom

***

# PuTlSe2O8 | Alexandria via LeMat-Bulk | PBE | optimized geometry
data_PuTlSe2O8
_chemical_formula_sum 'Pu1 Tl1 Se2 O8'
_cell_length_a 6.2716
_cell_length_b 6.2716
_cell_length_c 7.6438
_cell_angle_alpha 90.00
_cell_angle_beta 90.00
_cell_angle_gamma 120.00
_symmetry_space_group_name_H-M 'P -3 m 1'
_symmetry_Int_Tables_number 164
_symmetry_space_group_name_Hall '-P 3 2"'
loop_
_atom_site_label
_atom_site_fract_x
_atom_site_fract_y
_atom_site_fract_z
Pu1 0.0000 0.0000 0.0000
Tl1 0.0000 0.0000 0.5000
Se1 0.3333 0.6667 0.8108
O1 0.1507 0.3014 0.8435
O2 0.3333 0.6667 0.5974
# calculated volume: 260.4 Å³/cell
# size of the total moment: 1.05 Bohr magnetons per cell
# E_form (uncorrected): -1349 kJ/mol of formula units

***

# AlCuTc4 | Alexandria via LeMat-Bulk | PBE | optimized geometry
data_AlCuTc4
_chemical_formula_sum 'Al4 Cu4 Tc16'
_cell_length_a 7.201
_cell_length_b 7.201
_cell_length_c 7.201
_cell_angle_alpha 90.00
_cell_angle_beta 90.00
_cell_angle_gamma 90.00
_symmetry_space_group_name_H-M 'F -4 3 m'
_symmetry_Int_Tables_number 216
_symmetry_space_group_name_Hall 'F -4 2 3'
loop_
_atom_site_label
_atom_site_fract_x
_atom_site_fract_y
_atom_site_fract_z
Al1 0.000 0.000 0.000
Cu1 0.250 0.250 0.750
Tc1 0.125 0.125 0.375
# calculated volume: 373.4 Å³/cell
# size of the total moment: 0.00 Bohr magnetons per cell
# total energy: -0.288 hartree per atom

***

# KTiCdBi2 | Alexandria via LeMat-Bulk | PBE | optimized geometry
data_KTiCdBi2
_chemical_formula_sum 'K1 Ti1 Cd1 Bi2'
_cell_length_a 5.442
_cell_length_b 5.442
_cell_length_c 5.634
_cell_angle_alpha 90.00
_cell_angle_beta 90.00
_cell_angle_gamma 90.00
_symmetry_space_group_name_H-M 'P 4/m m m'
_symmetry_Int_Tables_number 123
_symmetry_space_group_name_Hall '-P 4 2'
loop_
_atom_site_label
_atom_site_fract_x
_atom_site_fract_y
_atom_site_fract_z
K1 0.000 0.000 0.000
Ti1 0.500 0.500 0.500
Cd1 0.500 0.500 0.000
Bi1 0.000 0.500 0.500
# calculated volume: 166.9 Å³/cell
# size of the total moment: 0.01 Bohr magnetons per cell
# total energy: -0.133 hartree per atom

***

# Y2CdAs | Alexandria via LeMat-Bulk | PBE | optimized geometry
data_Y2CdAs
_chemical_formula_sum 'Y8 Cd4 As4'
_cell_length_a 7.308
_cell_length_b 7.308
_cell_length_c 7.308
_cell_angle_alpha 90.00
_cell_angle_beta 90.00
_cell_angle_gamma 90.00
_symmetry_space_group_name_H-M 'F m -3 m'
_symmetry_Int_Tables_number 225
_symmetry_space_group_name_Hall '-F 4 2 3'
loop_
_atom_site_label
_atom_site_fract_x
_atom_site_fract_y
_atom_site_fract_z
Y1 0.250 0.250 0.250
Cd1 0.000 0.000 0.000
As1 0.000 0.000 0.500
# calculated volume: 390.4 Å³/cell
# size of the total moment: 0.00 Bohr magnetons per cell
# total energy: -0.191 hartree per atom

***

# SrNi2Os | Alexandria via LeMat-Bulk | PBE | optimized geometry
data_SrNi2Os
_chemical_formula_sum 'Sr1 Ni2 Os1'
_cell_length_a 2.753
_cell_length_b 3.637
_cell_length_c 6.715
_cell_angle_alpha 90.00
_cell_angle_beta 90.00
_cell_angle_gamma 90.00
_symmetry_space_group_name_H-M 'P m m m'
_symmetry_Int_Tables_number 47
loop_
_symmetry_equiv_pos_as_xyz
'x,y,z'
'-x,-y,-z'
'-x,-y,z'
'x,y,-z'
'x,-y,-z'
'-x,y,z'
'-x,y,-z'
'x,-y,z'
loop_
_atom_site_label
_atom_site_fract_x
_atom_site_fract_y
_atom_site_fract_z
Sr1 0.000 0.000 0.000
Ni1 0.500 0.500 0.323
Os1 0.000 0.000 0.500
# calculated volume: 67.2 Å³/cell
# size of the total moment: 0.00 Bohr magnetons per cell
# total energy: -0.211 hartree per atom

***

# NaGd2S | Alexandria via LeMat-Bulk | PBE | optimized geometry
data_NaGd2S
_chemical_formula_sum 'Na3 Gd6 S3'
_cell_length_a 3.7667
_cell_length_b 3.7667
_cell_length_c 31.0777
_cell_angle_alpha 90.00
_cell_angle_beta 90.00
_cell_angle_gamma 120.00
_symmetry_space_group_name_H-M 'R -3 m'
_symmetry_Int_Tables_number 166
_symmetry_space_group_name_Hall '-R 3 2"'
loop_
_atom_site_label
_atom_site_fract_x
_atom_site_fract_y
_atom_site_fract_z
Na1 0.0000 0.0000 0.0000
Gd1 0.0000 0.0000 0.1144
S1 0.0000 0.0000 0.5000
# calculated volume: 381.8 Å³/cell
# size of the total moment: 44.82 Bohr magnetons per cell
# E_form (uncorrected): -305 kJ/mol of formula units

***

# Tm2MgV | Alexandria via LeMat-Bulk | PBE | optimized geometry
data_Tm2MgV
_chemical_formula_sum 'Tm8 Mg4 V4'
_cell_length_a 7.267
_cell_length_b 7.267
_cell_length_c 7.267
_cell_angle_alpha 90.00
_cell_angle_beta 90.00
_cell_angle_gamma 90.00
_symmetry_space_group_name_H-M 'F m -3 m'
_symmetry_Int_Tables_number 225
_symmetry_space_group_name_Hall '-F 4 2 3'
loop_
_atom_site_label
_atom_site_fract_x
_atom_site_fract_y
_atom_site_fract_z
Tm1 0.250 0.250 0.250
Mg1 0.000 0.000 0.000
V1 0.000 0.000 0.500
# calculated volume: 383.7 Å³/cell
# size of the total moment: 13.41 Bohr magnetons per cell
# total energy: -0.175 hartree per atom

***

# DyScC2 | Alexandria via LeMat-Bulk | PBE | optimized geometry
data_DyScC2
_chemical_formula_sum 'Dy3 Sc3 C6'
_cell_length_a 3.4705
_cell_length_b 3.4705
_cell_length_c 16.8231
_cell_angle_alpha 90.00
_cell_angle_beta 90.00
_cell_angle_gamma 120.00
_symmetry_space_group_name_H-M 'R -3 m'
_symmetry_Int_Tables_number 166
_symmetry_space_group_name_Hall '-R 3 2"'
loop_
_atom_site_label
_atom_site_fract_x
_atom_site_fract_y
_atom_site_fract_z
Dy1 0.0000 0.0000 0.0000
Sc1 0.0000 0.0000 0.5000
C1 0.0000 0.0000 0.2438
# calculated volume: 175.5 Å³/cell
# size of the total moment: 0.00 Bohr magnetons per cell
# total energy: -0.271 hartree per atom